[1]
Here is NiHN2 after structural relaxation from Alexandria. Energies are from PBE.

Results
Energy above the lowest structure with this stoichiometry: 964.5 meV per atom
E_tot: -4.877 eV per atom

Cell: 3.3761 3.3761 3.3761 Å, 60.00 60.00 60.00°
Sites, in units of the cell vectors:
Ni 0.0000 0.0000 0.0000
H 0.5000 0.5000 0.5000
N 0.2500 0.2500 0.2500
N 0.7500 0.7500 0.7500

[2]
Here is BaLiSnAs after structural relaxation from Alexandria. Energies are from PBE.

Results
E_tot: -3.760 eV per atom
Energy of formation: -638 meV per atom

Cell: 4.3485 4.3485 12.3093 Å, 90.00 90.00 90.00°
Sites, in units of the cell vectors:
Ba 0.2500 0.2500 0.2248
Ba 0.7500 0.7500 0.7752
Li 0.2500 0.7500 0.0000
Li 0.7500 0.2500 0.0000
Sn 0.2500 0.7500 0.5000
Sn 0.7500 0.2500 0.5000
As 0.2500 0.2500 0.8813
As 0.7500 0.7500 0.1187

[3]
Here is AcInTc after structural relaxation from Alexandria. Energies are from PBE.

Results
E_tot: -5.761 eV per atom
Energy of formation: -23 meV per atom

Cell: 11.4150 4.3181 6.8246 Å, 90.00 90.00 90.00°
Sites, in units of the cell vectors:
Ac 0.2087 0.2500 0.2057
Ac 0.2913 0.7500 0.7057
Ac 0.7087 0.2500 0.2943
Ac 0.7913 0.7500 0.7943
In 0.0449 0.2500 0.6550
In 0.4551 0.7500 0.1550
In 0.5449 0.2500 0.8450
In 0.9551 0.7500 0.3450
Tc 0.0403 0.7500 0.9505
Tc 0.4597 0.2500 0.4505
Tc 0.5403 0.7500 0.5495
Tc 0.9597 0.2500 0.0495

[4]
Here is Rb2TmSeO6 after structural relaxation from Alexandria. Energies are from PBE.

Results
E_tot: -5.518 eV per atom
Formation energy (no corrections): -1.554 eV per atom

Cell: 6.4728 6.4728 5.6288 Å, 90.00 90.00 120.00°
Sites, in units of the cell vectors:
Rb 0.3333 0.6667 0.1228
Rb 0.6667 0.3333 0.8772
Tm 0.0000 0.0000 0.5000
Se 0.0000 0.0000 0.0000
O 0.1310 0.2621 0.8038
O 0.1310 0.8690 0.8038
O 0.2621 0.1310 0.1962
O 0.7379 0.8690 0.8038
O 0.8690 0.1310 0.1962
O 0.8690 0.7379 0.1962

[5]
Here is ThTlTeSe after structural relaxation from Alexandria. Energies are from PBE.

Results
E_tot: -5.104 eV per atom
Formation energy (no corrections): -1.001 eV per atom

Cell: 4.2368 4.2368 8.9315 Å, 103.63 103.63 60.09°
Sites, in units of the cell vectors:
Th 0.0000 0.0000 0.0000
Tl 0.1579 0.1579 0.4738
Te 0.5879 0.5879 0.7637
Se 0.3987 0.3987 0.1960

[6]
Here is DyTm2In9 after structural relaxation from Alexandria. Energies are from PBE.

Results
E_tot: -3.564 eV per atom
Energy of formation: -382 meV per atom

Cell: 4.6222 4.6222 13.8618 Å, 90.00 90.00 90.00°
Sites, in units of the cell vectors:
Dy 0.0000 0.0000 0.0000
Tm 0.0000 0.0000 0.3336
Tm 0.0000 0.0000 0.6664
In 0.0000 0.5000 0.1679
In 0.0000 0.5000 0.5000
In 0.0000 0.5000 0.8321
In 0.5000 0.0000 0.1679
In 0.5000 0.0000 0.5000
In 0.5000 0.0000 0.8321
In 0.5000 0.5000 0.0000
In 0.5000 0.5000 0.3334
In 0.5000 0.5000 0.6666

[7]
Here is Rb2CuWCl6 after structural relaxation from Alexandria. Energies are from PBE.

Results
E_tot: -4.081 eV per atom
Formation energy (no corrections): -1.074 eV per atom

Cell: 7.0947 7.0947 7.0947 Å, 114.25 114.25 100.28°
Sites, in units of the cell vectors:
Rb 0.2500 0.7500 0.5000
Rb 0.7500 0.2500 0.5000
Cu 0.0000 0.0000 0.0000
W 0.5000 0.5000 0.0000
Cl 0.2340 0.2340 0.0000
Cl 0.2742 0.2742 0.5484
Cl 0.2742 0.7258 0.0000
Cl 0.7258 0.2742 0.0000
Cl 0.7258 0.7258 0.4516
Cl 0.7660 0.7660 0.0000

[8]
Here is NbCrTc after structural relaxation from Alexandria. Energies are from PBE.

Results
Energy above the lowest structure with this stoichiometry: 48.1 meV per atom
E_tot: -10.043 eV per atom
Energy of formation: -23 meV per atom

Cell: 5.1454 5.1454 5.3585 Å, 121.08 121.08 50.08°
Sites, in units of the cell vectors:
Nb 0.1680 0.1680 0.2519
Nb 0.8320 0.8320 0.7481
Cr 0.4981 0.4981 0.2560
Cr 0.5019 0.5019 0.7440
Tc 0.1659 0.1659 0.7521
Tc 0.8341 0.8341 0.2479

[9]
Here is LiPuPdAu after structural relaxation from Alexandria. Energies are from PBE.

Results
Energy above the lowest structure with this stoichiometry: 0.0 meV per atom
E_tot: -6.643 eV per atom
Energy of formation: -464 meV per atom

Cell: 3.2883 3.2883 6.8722 Å, 90.00 90.00 90.00°
Sites, in units of the cell vectors:
Li 0.0000 0.0000 0.0000
Pu 0.0000 0.0000 0.4836
Pd 0.5000 0.5000 0.2089
Au 0.5000 0.5000 0.7921

[10]
Here is BaY2Cu after structural relaxation from Alexandria. Energies are from PBE.

Results
Energy above the lowest structure with this stoichiometry: 9.0 meV per atom
E_tot: -4.690 eV per atom
Energy of formation: 47 meV per atom

Cell: 3.7430 3.7430 9.1694 Å, 90.00 90.00 90.00°
Sites, in units of the cell vectors:
Ba 0.0000 0.0000 0.0000
Y 0.0000 0.0000 0.3941
Y 0.5000 0.5000 0.6495
Cu 0.5000 0.5000 0.2539

[11]
Here is PmNd4Y7 after structural relaxation from Alexandria. Energies are from PBE.

Results
E_tot: -5.497 eV per atom
Energy of formation: 259 meV per atom

Cell: 6.7944 6.7944 12.9168 Å, 114.45 114.45 51.84°
Sites, in units of the cell vectors:
Pm 0.0000 0.0000 0.0000
Nd 0.2220 0.2220 0.6663
Nd 0.3619 0.3619 0.2234
Nd 0.6381 0.6381 0.7766
Nd 0.7780 0.7780 0.3337
Y 0.0697 0.0697 0.3124
Y 0.2103 0.2103 0.9227
Y 0.3671 0.3671 0.5045
Y 0.5000 0.5000 0.0000
Y 0.6329 0.6329 0.4955
Y 0.7897 0.7897 0.0773
Y 0.9303 0.9303 0.6876

[12]
Here is Pm2TeP after structural relaxation from Alexandria. Energies are from PBE.

Results
Energy above the lowest structure with this stoichiometry: 34.5 meV per atom
E_tot: -6.068 eV per atom
Formation energy (no corrections): -1.555 eV per atom

Cell: 4.2154 6.0784 8.8268 Å, 90.00 90.00 90.00°
Sites, in units of the cell vectors:
Pm 0.2500 0.2500 0.1036
Pm 0.2500 0.2500 0.6677
Pm 0.7500 0.7500 0.3323
Pm 0.7500 0.7500 0.8964
Te 0.2500 0.7500 0.6162
Te 0.7500 0.2500 0.3838
P 0.2500 0.7500 0.1180
P 0.7500 0.2500 0.8820

[13]
Here is Li2FeHN after structural relaxation from Alexandria. Energies are from PBE.

Results
E_tot: -5.070 eV per atom

Cell: 4.7464 4.7464 6.6309 Å, 90.00 90.00 142.78°
Sites, in units of the cell vectors:
Li 0.1392 0.8608 0.5603
Li 0.1392 0.8608 0.9397
Li 0.8608 0.1392 0.0603
Li 0.8608 0.1392 0.4397
Fe 0.4343 0.5657 0.7500
Fe 0.5657 0.4343 0.2500
H 0.1706 0.8294 0.2500
H 0.8294 0.1706 0.7500
N 0.5000 0.5000 0.0000
N 0.5000 0.5000 0.5000

[14]
Here is SmGa9Fe2 after structural relaxation from Alexandria. Energies are from PBE.

Results
E_tot: -4.310 eV per atom
Energy of formation: -236 meV per atom

Cell: 7.9866 7.9866 3.7228 Å, 90.00 90.00 120.00°
Sites, in units of the cell vectors:
Sm 0.0000 0.0000 0.0000
Ga 0.0000 0.5000 0.0000
Ga 0.2041 0.4083 0.5000
Ga 0.2041 0.7959 0.5000
Ga 0.4083 0.2041 0.5000
Ga 0.5000 0.0000 0.0000
Ga 0.5000 0.5000 0.0000
Ga 0.5917 0.7959 0.5000
Ga 0.7959 0.2041 0.5000
Ga 0.7959 0.5917 0.5000
Fe 0.3333 0.6667 0.0000
Fe 0.6667 0.3333 0.0000

[15]
Here is LiMgMoCl6 after structural relaxation from Alexandria. Energies are from PBE.

Results
E_tot: -4.192 eV per atom
Formation energy (no corrections): -1.368 eV per atom

Cell: 6.3271 6.3271 11.7850 Å, 90.00 90.00 120.00°
Sites, in units of the cell vectors:
Li 0.0000 0.0000 0.0000
Li 0.0000 0.0000 0.5000
Mg 0.3333 0.6667 0.2500
Mg 0.6667 0.3333 0.7500
Mo 0.3333 0.6667 0.7500
Mo 0.6667 0.3333 0.2500
Cl 0.0062 0.3521 0.6313
Cl 0.0062 0.6542 0.8687
Cl 0.3458 0.3521 0.8687
Cl 0.3458 0.9938 0.6313
Cl 0.3521 0.0062 0.1313
Cl 0.3521 0.3458 0.3687
Cl 0.6479 0.6542 0.6313
Cl 0.6479 0.9938 0.8687
Cl 0.6542 0.0062 0.3687
Cl 0.6542 0.6479 0.1313
Cl 0.9938 0.3458 0.1313
Cl 0.9938 0.6479 0.3687

[16]
Here is LiSc2Pt after structural relaxation from Alexandria. Energies are from PBE.

Results
Energy above the lowest structure with this stoichiometry: 240.5 meV per atom
E_tot: -5.653 eV per atom
Energy of formation: -499 meV per atom

Cell: 3.4027 3.4027 6.5293 Å, 90.00 90.00 90.00°
Sites, in units of the cell vectors:
Li 0.0000 0.0000 0.0000
Sc 0.0000 0.0000 0.4101
Sc 0.5000 0.5000 0.7484
Pt 0.5000 0.5000 0.1930

[17]
Here is TiNb2Au after structural relaxation from Alexandria. Energies are from PBE.

Results
Energy above the lowest structure with this stoichiometry: 260.2 meV per atom
E_tot: -7.742 eV per atom
Energy of formation: 86 meV per atom

Cell: 4.6415 4.6415 4.6415 Å, 60.00 60.00 60.00°
Sites, in units of the cell vectors:
Ti 0.0000 0.0000 0.0000
Nb 0.2500 0.2500 0.2500
Nb 0.7500 0.7500 0.7500
Au 0.5000 0.5000 0.5000

[18]
Here is CrNi3Te after structural relaxation from Alexandria. Energies are from PBE.

Results
Energy above the lowest structure with this stoichiometry: 0.0 meV per atom
E_tot: -5.110 eV per atom
Formation energy (no corrections): 0.912 eV per atom

Cell: 4.6065 4.6065 4.6065 Å, 90.00 90.00 90.00°
Sites, in units of the cell vectors:
Cr 0.0000 0.0000 0.0000
Ni 0.0000 0.5000 0.5000
Ni 0.5000 0.0000 0.5000
Ni 0.5000 0.5000 0.0000
Te 0.5000 0.5000 0.5000

[19]
Here is Sm3Dy3Th2 after structural relaxation from Alexandria. Energies are from PBE.

Results
Energy above the lowest structure with this stoichiometry: 0.0 meV per atom
E_tot: -5.321 eV per atom
Energy of formation: 29 meV per atom

Cell: 10.8105 10.8105 10.8105 Å, 152.94 152.92 38.66°
Sites, in units of the cell vectors:
Sm 0.0000 0.0000 0.0000
Sm 0.3720 0.8720 0.5000
Sm 0.6280 0.1280 0.5000
Dy 0.1278 0.6278 0.5000
Dy 0.5000 0.5000 0.0000
Dy 0.8722 0.3722 0.5000
Th 0.2497 0.2497 0.0000
Th 0.7503 0.7503 0.0000

[20]
Here is Fe4CoIr12 after structural relaxation from Alexandria. Energies are from PBE.

Results
E_tot: -8.386 eV per atom
Energy of formation: 278 meV per atom

Cell: 6.8718 6.8718 6.8718 Å, 109.47 109.47 109.47°
Sites, in units of the cell vectors:
Fe 0.0000 0.0000 0.5000
Fe 0.0000 0.5000 0.0000
Fe 0.5000 0.0000 0.0000
Fe 0.5000 0.5000 0.5000
Co 0.0000 0.0000 0.0000
Ir 0.0000 0.2867 0.2867
Ir 0.0000 0.7133 0.7133
Ir 0.2500 0.5000 0.7500
Ir 0.2500 0.7500 0.5000
Ir 0.2867 0.0000 0.2867
Ir 0.2867 0.2867 0.0000
Ir 0.5000 0.2500 0.7500
Ir 0.5000 0.7500 0.2500
Ir 0.7133 0.0000 0.7133
Ir 0.7133 0.7133 0.0000
Ir 0.7500 0.2500 0.5000
Ir 0.7500 0.5000 0.2500